Below is crystalline YCuBr2 at its relaxed geometry, with properties calculated at the GGA-PBEsol level.

```
4
Lattice="-2.402 -2.190 1.444 -0.601 -3.189 -1.455 4.490 -4.866 4.466" Properties=species:S:1:pos:R:3 pbc="T T T"
Br 0.534 -2.652 1.246
Br 0.954 -7.593 3.210
Y 0.000 0.000 0.000
Cu 0.744 -5.123 2.228
```

energy relative to the elements, uncorrected = -56 kJ/mol of atoms
raw total energy = -4.3063 eV per atom
calculated volume = 85 Å³/cell
magnetic moment = 0.00 μB per atom